Density functional theory data (PBE) for a geometry-optimized NaNpSnSb structure.

- formation energy without anion corrections (eV/atom) = -0.013
- volume (Å³ per atom) = 26.52

Cell lengths 5.313, 5.313, 5.313 Å; angles 60.00, 60.00, 60.00 degrees
Fractional positions:
Np1 0.000 0.000 0.000
Sn1 0.250 0.250 0.250
Sb1 0.750 0.750 0.750
Na1 0.500 0.500 0.500